Entry 1:
A plane-wave DFT calculation with PBE-GGA was carried out for a relaxed structure of Ba2CdP.

Calculated values
Distance to the lowest polymorph of the same formula = 567 meV per atom
DFT formation energy = -75 meV/atom
Raw total energy = -2.6172 eV per atom
Total magnetic moment = 0.0000 μB/atom

Structure (CIF):
```
data_Ba2CdP
_symmetry_space_group_name_H-M 'F -4 3 m'
_symmetry_Int_Tables_number 216
_symmetry_space_group_name_Hall 'F -4 2 3'
_cell_length_a 8.022
_cell_length_b 8.022
_cell_length_c 8.022
_cell_angle_alpha 90.00
_cell_angle_beta 90.00
_cell_angle_gamma 90.00
loop_
_atom_site_label
_atom_site_fract_x
_atom_site_fract_y
_atom_site_fract_z
Ba1 0.000 0.000 0.000
Ba2 0.250 0.250 0.250
Cd1 0.000 0.000 0.500
P1 0.250 0.250 0.750
```

---

Entry 2:
A plane-wave DFT calculation with PBE-GGA was carried out for a relaxed structure of CrRe2As.

Calculated values
DFT formation energy = 244 meV/atom
Raw total energy = -9.5486 eV per atom
Total magnetic moment = 0.2110 μB/atom

Structure (CIF):
```
data_CrRe2As
_symmetry_space_group_name_H-M 'P m m 2'
_symmetry_Int_Tables_number 25
_symmetry_space_group_name_Hall 'P 2 -2'
_cell_length_a 2.875
_cell_length_b 3.995
_cell_length_c 5.018
_cell_angle_alpha 90.00
_cell_angle_beta 90.00
_cell_angle_gamma 90.00
loop_
_atom_site_label
_atom_site_fract_x
_atom_site_fract_y
_atom_site_fract_z
Cr1 0.000 0.000 0.000
Re1 0.000 0.000 0.491
Re2 0.500 0.500 0.721
As1 0.500 0.500 0.218
```

---

Entry 3:
A plane-wave DFT calculation with PBE-GGA was carried out for a relaxed structure of LaTbNd14.

Calculated values
DFT formation energy = 13 meV/atom
Raw total energy = -4.7566 eV per atom
Total magnetic moment = 0.0000 μB/atom

Structure (CIF):
```
data_LaTbNd14
_symmetry_space_group_name_H-M 'P 4/m m m'
_symmetry_Int_Tables_number 123
_symmetry_space_group_name_Hall '-P 4 2'
_cell_length_a 7.356
_cell_length_b 7.356
_cell_length_c 10.414
_cell_angle_alpha 90.00
_cell_angle_beta 90.00
_cell_angle_gamma 90.00
loop_
_atom_site_label
_atom_site_fract_x
_atom_site_fract_y
_atom_site_fract_z
La1 0.000 0.000 0.000
Tb1 0.500 0.500 0.000
Nd1 0.000 0.000 0.500
Nd2 0.000 0.500 0.000
Nd3 0.000 0.500 0.500
Nd4 0.252 0.252 0.250
Nd5 0.500 0.500 0.500
```

---

Entry 4:
A plane-wave DFT calculation with PBE-GGA was carried out for a relaxed structure of Er2ScTl3Te6.

Calculated values
Formation energy from raw total energies = -11.968 eV/f.u.
Raw total energy = -4.4479 eV per atom
Total magnetic moment = 0.0000 μB/atom

Structure (CIF):
```
data_Er2ScTl3Te6
_symmetry_space_group_name_H-M 'C 1 2/m 1'
_symmetry_Int_Tables_number 12
_symmetry_space_group_name_Hall '-C 2y'
_cell_length_a 7.571
_cell_length_b 13.107
_cell_length_c 8.552
_cell_angle_alpha 90.00
_cell_angle_beta 107.16
_cell_angle_gamma 90.00
loop_
_atom_site_label
_atom_site_fract_x
_atom_site_fract_y
_atom_site_fract_z
Er1 0.000 0.166 0.000
Sc1 0.000 0.500 0.000
Tl1 0.000 0.000 0.500
Tl2 0.000 0.330 0.500
Te1 0.231 0.338 0.207
Te2 0.246 0.000 0.210
```